# K2TiTe3O12 (PBE, optimized geometry)
data_K2TiTe3O12
_chemical_formula_sum 'K4 Ti2 Te6 O24'
_cell_length_a 12.4572
_cell_length_b 7.2570
_cell_length_c 7.2085
_cell_angle_alpha 90.00
_cell_angle_beta 124.81
_cell_angle_gamma 90.00
_symmetry_space_group_name_H-M 'C 1 2 1'
_symmetry_Int_Tables_number 5
_symmetry_space_group_name_Hall 'C 2y'
loop_
_atom_site_label
_atom_site_type_symbol
_atom_site_fract_x
_atom_site_fract_y
_atom_site_fract_z
K1 K 0.1328 0.0000 0.3671
Ti1 Ti 0.0000 0.5025 0.0000
Te1 Te 0.0000 0.5027 0.5000
Te2 Te 0.2501 0.2528 0.9999
O1 O 0.0666 0.5030 0.3201
O2 O 0.1268 0.3096 0.0666
O3 O 0.1267 0.6964 0.0667
O4 O 0.1278 0.3039 0.6732
O5 O 0.1277 0.7018 0.6734
O6 O 0.1733 0.0029 0.9289
# Total DFT energy (no corrections) ... -5.913 eV/atom
# Formation energy from raw total energies ... -2646 kJ/mol of formula units



# AcNbAlO6 (PBE, optimized geometry)
data_AcNbAlO6
_chemical_formula_sum 'Ac1 Nb1 Al1 O6'
_cell_length_a 5.2326
_cell_length_b 5.2326
_cell_length_c 5.3107
_cell_angle_alpha 90.00
_cell_angle_beta 90.00
_cell_angle_gamma 120.00
_symmetry_space_group_name_H-M 'P 3 1 2'
_symmetry_Int_Tables_number 149
_symmetry_space_group_name_Hall 'P 3 2'
loop_
_atom_site_label
_atom_site_type_symbol
_atom_site_fract_x
_atom_site_fract_y
_atom_site_fract_z
Ac1 Ac 0.0000 0.0000 0.0000
Nb1 Nb 0.6667 0.3333 0.5000
Al1 Al 0.3333 0.6667 0.5000
O1 O 0.0124 0.3869 0.7061
# Total DFT energy (no corrections) ... -8.018 eV/atom
# Formation energy from raw total energies ... -2363 kJ/mol of formula units



# Ac2TiInO6 (PBE, optimized geometry)
data_Ac2TiInO6
_chemical_formula_sum 'Ac4 Ti2 In2 O12'
_cell_length_a 8.1349
_cell_length_b 8.0435
_cell_length_c 6.0974
_cell_angle_alpha 90.00
_cell_angle_beta 126.03
_cell_angle_gamma 90.00
_symmetry_space_group_name_H-M 'C 1 m 1'
_symmetry_Int_Tables_number 8
_symmetry_space_group_name_Hall 'C -2y'
loop_
_atom_site_label
_atom_site_type_symbol
_atom_site_fract_x
_atom_site_fract_y
_atom_site_fract_z
Ac1 Ac 0.0000 0.2363 0.0000
Ti1 Ti 0.0779 0.0000 0.6045
In1 In 0.0243 0.5000 0.5161
O1 O 0.1179 0.2407 0.6967
O2 O 0.2541 0.0000 0.1035
O3 O 0.3656 0.0000 0.7202
O4 O 0.3655 0.5000 0.6703
O5 O 0.4188 0.5000 0.2283
# Total DFT energy (no corrections) ... -7.593 eV/atom
# Formation energy from raw total energies ... -2637 kJ/mol of formula units



# NbMoRu (PBE, optimized geometry)
data_NbMoRu
_chemical_formula_sum 'Nb2 Mo2 Ru2'
_cell_length_a 3.1880
_cell_length_b 3.1880
_cell_length_c 9.5422
_cell_angle_alpha 90.00
_cell_angle_beta 90.00
_cell_angle_gamma 90.00
_symmetry_space_group_name_H-M 'P 4/n m m'
_symmetry_Int_Tables_number 129
loop_
_symmetry_equiv_pos_as_xyz
'x,y,z'
'-x,-y,-z'
'-y+1/2,x,z'
'y+1/2,-x,-z'
'-x+1/2,-y+1/2,z'
'x+1/2,y+1/2,-z'
'y,-x+1/2,z'
'-y,x+1/2,-z'
'x+1/2,-y,-z'
'-x+1/2,y,z'
'-y,-x,-z'
'y,x,z'
'-x,y+1/2,-z'
'x,-y+1/2,z'
'y+1/2,x+1/2,-z'
'-y+1/2,-x+1/2,z'
loop_
_atom_site_label
_atom_site_type_symbol
_atom_site_fract_x
_atom_site_fract_y
_atom_site_fract_z
Nb1 Nb 0.2500 0.2500 0.2411
Mo1 Mo 0.2500 0.2500 0.5775
Ru1 Ru 0.2500 0.2500 0.9033
# Total DFT energy (no corrections) ... -10.154 eV/atom
# Relative energy among the computed polymorphs ... 0 meV per atom
# ΔH_f (0 K) ... -27 kJ/mol of formula units



# Pm2TeCl2 (PBE, optimized geometry)
data_Pm2TeCl2
_chemical_formula_sum 'Pm4 Te2 Cl4'
_cell_length_a 7.3568
_cell_length_b 4.2409
_cell_length_c 10.2280
_cell_angle_alpha 90.00
_cell_angle_beta 90.40
_cell_angle_gamma 90.00
_symmetry_space_group_name_H-M 'C 1 2/m 1'
_symmetry_Int_Tables_number 12
_symmetry_space_group_name_Hall '-C 2y'
loop_
_atom_site_label
_atom_site_type_symbol
_atom_site_fract_x
_atom_site_fract_y
_atom_site_fract_z
Pm1 Pm 0.1687 0.0000 0.1792
Te1 Te 0.0000 0.5000 0.0000
Cl1 Cl 0.1630 0.0000 0.6662
# Total DFT energy (no corrections) ... -4.989 eV/atom
# Formation energy from raw total energies ... -830 kJ/mol of formula units



# ReAu2Cl (PBE, optimized geometry)
data_ReAu2Cl
_chemical_formula_sum 'Re1 Au2 Cl1'
_cell_length_a 2.8249
_cell_length_b 4.7071
_cell_length_c 5.3648
_cell_angle_alpha 90.00
_cell_angle_beta 90.00
_cell_angle_gamma 90.00
_symmetry_space_group_name_H-M 'P m m m'
_symmetry_Int_Tables_number 47
_symmetry_space_group_name_Hall '-P 2 2'
loop_
_atom_site_label
_atom_site_type_symbol
_atom_site_fract_x
_atom_site_fract_y
_atom_site_fract_z
Re1 Re 0.0000 0.0000 0.0000
Au1 Au 0.0000 0.5000 0.5000
Au2 Au 0.5000 0.0000 0.5000
Cl1 Cl 0.5000 0.5000 0.0000
# Total DFT energy (no corrections) ... -4.310 eV/atom
# Relative energy among the computed polymorphs ... 547 meV per atom
# Formation energy from raw total energies ... 348 kJ/mol of formula units



# Tl2CoPt (PBE, optimized geometry)
data_Tl2CoPt
_chemical_formula_sum 'Tl8 Co4 Pt4'
_cell_length_a 6.7847
_cell_length_b 6.7847
_cell_length_c 6.7847
_cell_angle_alpha 90.00
_cell_angle_beta 90.00
_cell_angle_gamma 90.00
_symmetry_space_group_name_H-M 'F -4 3 m'
_symmetry_Int_Tables_number 216
_symmetry_space_group_name_Hall 'F -4 2 3'
loop_
_atom_site_label
_atom_site_type_symbol
_atom_site_fract_x
_atom_site_fract_y
_atom_site_fract_z
Tl1 Tl 0.0000 0.0000 0.0000
Tl2 Tl 0.2500 0.2500 0.2500
Co1 Co 0.0000 0.0000 0.5000
Pt1 Pt 0.2500 0.2500 0.7500
# Total DFT energy (no corrections) ... -3.937 eV/atom
# ΔH_f (0 K) ... 206 kJ/mol of formula units



# TcIrCl3 (PBE, optimized geometry)
data_TcIrCl3
_chemical_formula_sum 'Tc1 Ir1 Cl3'
_cell_length_a 4.8243
_cell_length_b 4.8243
_cell_length_c 4.8243
_cell_angle_alpha 90.00
_cell_angle_beta 90.00
_cell_angle_gamma 90.00
_symmetry_space_group_name_H-M 'P m -3 m'
_symmetry_Int_Tables_number 221
_symmetry_space_group_name_Hall '-P 4 2 3'
loop_
_atom_site_label
_atom_site_type_symbol
_atom_site_fract_x
_atom_site_fract_y
_atom_site_fract_z
Tc1 Tc 0.0000 0.0000 0.0000
Ir1 Ir 0.5000 0.5000 0.5000
Cl1 Cl 0.0000 0.5000 0.5000
# Total DFT energy (no corrections) ... -4.161 eV/atom
# Relative energy among the computed polymorphs ... 0 meV per atom
# Formation energy from raw total energies ... 382 kJ/mol of formula units